# 1
This record from OQMD describes crystalline LiInFeHg at its relaxed geometry. The functional is PBE-GGA.

Properties
Energy relative to the lowest polymorph listed for this composition = 0.0 meV/atom
Spin magnetization = 0.6050 μB per atom
Theoretical density = 9.21 g/cm³

a b c (Å): 6.4859 6.4859 6.4859
angles (deg): 90.00 90.00 90.00
Space group F-43m (No. 216)
One atom of each set of equivalent atoms:
Li 0.0000 0.0000 0.0000 x4
In 0.2500 0.2500 0.2500 x4
Fe 0.0000 0.0000 0.5000 x4
Hg 0.2500 0.2500 0.7500 x4

=====

# 2
This record from OQMD describes crystalline BaMgHg2Pb at its relaxed geometry. The functional is PBE-GGA.

Properties
Theoretical density = 8.63 g/cm³
Total energy = -1.91 eV/atom

a b c (Å): 4.7539 4.7539 13.1164
angles (deg): 90.00 90.00 90.00
Space group I-4m2 (No. 119)
One atom of each set of equivalent atoms:
Ba 0.0000 0.0000 0.0000 x2
Mg 0.0000 0.5000 0.2500 x2
Hg 0.0000 0.0000 0.3901 x4
Pb 0.0000 0.5000 0.7500 x2

=====

# 3
This record from OQMD describes crystalline NaTbNiS3 at its relaxed geometry. The functional is PBE-GGA.

Properties
Spin magnetization = 0.0297 μB per atom
Theoretical density = 4.64 g/cm³
Total energy = -5.11 eV/atom

a b c (Å): 15.8792 3.9511 7.9389
angles (deg): 90.00 104.72 90.00
Space group C2/m (No. 12)
One atom of each set of equivalent atoms:
Na 0.1281 0.0000 0.0712 x4
Tb 0.1710 0.0000 0.6060 x4
Ni 0.0019 0.5000 0.7028 x4
S 0.0000 0.0000 0.5000 x2
S 0.0000 0.5000 0.0000 x2
S 0.1514 0.5000 0.8207 x4
S 0.1533 0.5000 0.3545 x4

=====

# 4
This record from OQMD describes crystalline Ho2TmAl2Cd3In at its relaxed geometry. The functional is PBE-GGA.

Properties
Spin magnetization = 0.0000 μB per atom
Theoretical density = 7.98 g/cm³
Total energy = -3.33 eV/atom

a b c (Å): 4.5448 12.6068 7.2945
angles (deg): 90.00 90.00 90.00
Space group Amm2 (No. 38)
One atom of each set of equivalent atoms:
Ho 0.0000 0.2186 0.0000 x4
Tm 0.0000 0.0000 0.6559 x2
Al 0.5000 0.1662 0.7186 x4
Cd 0.5000 0.0000 0.9625 x2
Cd 0.5000 0.1279 0.3466 x4
In 0.0000 0.0000 0.2194 x2

=====

# 5
This record from OQMD describes crystalline TbPOsO at its relaxed geometry. The functional is PBE-GGA.

Properties
Energy relative to the lowest polymorph listed for this composition = 0.0 meV/atom
Spin magnetization = 0.0023 μB per atom
Theoretical density = 10.39 g/cm³

a b c (Å): 3.9971 3.9971 7.9243
angles (deg): 90.00 90.00 90.00
Space group P4/nmm (No. 129, origin choice 2)
One atom of each set of equivalent atoms:
Tb 0.2500 0.2500 0.1360 x2
P 0.2500 0.2500 0.6557 x2
Os 0.2500 0.7500 0.5000 x2
O 0.2500 0.7500 0.0000 x2

=====

# 6
This record from OQMD describes crystalline ZrOsO4 at its relaxed geometry. The functional is PBE-GGA.

Properties
Energy relative to the lowest polymorph listed for this composition = 0.0 meV/atom
Spin magnetization = 0.3250 μB per atom
Theoretical density = 8.06 g/cm³

a b c (Å): 4.7245 5.7268 5.2699
angles (deg): 90.00 92.75 90.00
Space group P2/c (No. 13)
One atom of each set of equivalent atoms:
Zr 0.0000 0.1702 0.2500 x2
Os 0.5000 0.3521 0.7500 x2
O 0.2355 0.1139 0.5943 x4
O 0.2776 0.3917 0.0640 x4